LaThS3: optimized geometry, PBE-GGA.

extended XYZ file:
```
20
Lattice="4.079 0.000 0.000 0.000 7.572 0.000 0.000 0.000 15.741" Properties=species:S:1:pos:R:3 pbc="T T T"
La 3.059 6.683 12.513
La 1.020 0.889 3.229
La 3.059 2.897 11.099
La 1.020 4.675 4.642
Th 1.020 1.914 15.065
Th 1.020 5.700 8.547
Th 3.059 1.872 7.194
Th 3.059 5.658 0.677
S 1.020 2.792 8.942
S 3.059 6.337 3.441
S 3.059 3.704 14.161
S 3.059 7.489 9.451
S 3.059 4.779 6.799
S 1.020 0.082 6.291
S 1.020 6.578 14.670
S 3.059 2.551 4.430
S 1.020 5.021 11.312
S 1.020 1.235 12.301
S 3.059 0.993 1.072
S 1.020 3.868 1.580
```

density of states at the Fermi level = 1.9 states/eV/f.u.
E above lowest polymorph = 0 kJ/mol of formula units
space-group type = Pnma, No. 62
crystal system = orthorhombic
E = -7.04 eV per atom

=====

La6TeAs3Se2: optimized geometry, PBE-GGA.

extended XYZ file:
```
12
Lattice="4.382 0.000 0.000 0.000 8.804 0.281 -2.191 -2.573 9.244" Properties=species:S:1:pos:R:3 pbc="T T T"
La 0.000 6.412 6.304
La 2.191 4.328 3.213
La 2.191 -0.181 3.220
La 2.191 -0.222 9.294
La 0.000 6.453 0.231
La 0.000 1.903 6.311
Te 2.191 0.000 0.000
As 2.191 4.402 0.140
As 2.191 -0.242 6.233
As 0.000 6.473 3.291
Se 2.191 4.153 6.332
Se 0.000 2.078 3.193
```

density of states at the Fermi level = 5.3 states/eV/f.u.
space-group type = C2/m, No. 12
crystal system = monoclinic
E = -6.23 eV per atom

=====

UAgRhO6: optimized geometry, PBE-GGA.

extended XYZ file:
```
18
Lattice="-3.080 4.218 -1.239 -1.083 -2.922 4.371 5.752 5.748 5.268" Properties=species:S:1:pos:R:3 pbc="T T T"
U -0.976 3.275 1.948
U 2.566 3.769 6.452
Ag 0.000 0.000 0.000
Ag 2.876 2.874 2.634
Rh -0.311 0.895 3.818
Rh 1.900 6.149 4.582
O -1.883 1.583 2.760
O 0.363 -0.232 2.287
O 2.537 5.155 2.947
O 1.226 7.275 6.113
O 0.616 2.517 3.060
O 1.360 0.237 4.736
O 2.961 7.669 3.789
O -0.947 1.889 5.453
O 0.230 6.807 3.664
O -1.371 -0.625 4.611
O 0.973 4.526 5.340
O 3.473 5.461 5.640
```

density of states at the Fermi level = 4.4 states/eV/f.u.
space-group type = P-31c, No. 163
crystal system = trigonal
E = -7.27 eV per atom

=====

Ta5Ni24: optimized geometry, PBE-GGA.

extended XYZ file:
```
29
Lattice="7.675 0.000 0.000 -2.558 7.236 0.000 -2.558 -3.618 6.266" Properties=species:S:1:pos:R:3 pbc="T T T"
Ni -3.682 3.598 3.935
Ni -3.682 1.609 5.084
Ni -0.497 1.346 2.331
Ni 5.303 0.683 1.183
Ni 4.620 -2.272 3.935
Ni 2.744 -2.935 5.084
Ni -1.124 5.227 1.183
Ni 1.434 -0.020 2.331
Ni -1.124 -1.589 5.118
Ni 1.434 2.028 1.148
Ni 2.744 5.870 0.000
Ni 4.620 4.544 0.000
Ni -2.348 0.180 3.730
Ni -2.348 3.140 2.021
Ni 3.510 1.464 2.536
Ni -1.373 2.451 4.246
Ni 0.952 -2.154 3.730
Ni 3.743 -1.167 2.021
Ni 2.769 -0.477 4.246
Ni 0.211 3.798 2.536
Ni 2.769 3.916 1.709
Ni 0.211 0.298 4.557
Ni 3.743 2.333 0.000
Ni 0.952 4.307 0.000
Ta -0.989 -1.399 2.423
Ta -0.989 2.798 0.000
Ta 1.569 2.219 3.843
Ta 2.968 0.000 0.000
Ta 0.000 0.000 0.000
```

density of states at the Fermi level = 32.1 states/eV/f.u.
space-group type = I-43m, No. 217
formation enthalpy at 0 K = -0.163 eV per atom
crystal system = cubic
E = -6.99 eV per atom

=====

Ba6Pd2Br: optimized geometry, PBE-GGA.

extended XYZ file:
```
9
Lattice="7.122 0.000 3.869 2.510 6.665 3.869 -0.275 -0.190 8.995" Properties=species:S:1:pos:R:3 pbc="T T T"
Ba 4.282 1.469 6.170
Ba 3.749 5.788 7.504
Ba 7.499 3.490 8.678
Ba 4.141 4.448 11.891
Ba 4.873 0.318 10.736
Ba 1.209 2.308 9.493
Pd 2.781 1.925 3.370
Pd 4.332 2.997 9.006
Br 7.511 5.197 11.644
```

density of states at the Fermi level = 7.7 states/eV/f.u.
space-group type = R3, No. 146
crystal system = trigonal
E = -3.24 eV per atom

=====

Zr5Sb: optimized geometry, PBE-GGA.

extended XYZ file:
```
6
Lattice="2.990 -5.180 0.000 2.990 5.180 0.000 0.000 0.000 4.859" Properties=species:S:1:pos:R:3 pbc="T T T"
Zr 2.990 1.727 0.000
Zr 2.990 -1.727 0.000
Zr 1.495 -2.590 2.429
Zr 1.495 2.590 2.429
Zr 2.990 0.000 2.429
Sb 0.000 0.000 0.000
```

density of states at the Fermi level = 8.5 states/eV/f.u.
E above lowest polymorph = 399 kJ/mol of formula units
space-group type = P6/mmm, No. 191
crystal system = hexagonal
E = -7.38 eV per atom

=====

PuGe2Pd: optimized geometry, PBE-GGA.

extended XYZ file:
```
16
Lattice="5.869 0.000 0.000 0.000 6.626 0.000 0.000 0.000 8.053" Properties=species:S:1:pos:R:3 pbc="T T T"
Pu 2.233 1.656 0.239
Pu 5.168 4.969 3.788
Pu 3.636 4.969 7.814
Pu 0.702 1.656 4.266
Ge 5.198 0.323 1.615
Ge 2.263 6.303 2.412
Ge 0.671 3.635 6.438
Ge 3.606 2.990 5.642
Ge 0.671 6.303 6.438
Ge 3.606 0.323 5.642
Ge 5.198 2.990 1.615
Ge 2.263 3.635 2.412
Pd 3.692 1.656 3.440
Pd 0.757 4.969 0.587
Pd 2.178 4.969 4.614
Pd 5.112 1.656 7.466
```

density of states at the Fermi level = 10.8 states/eV/f.u.
space-group type = Pnma, No. 62
formation enthalpy at 0 K = -0.467 eV per atom
crystal system = orthorhombic
E = -7.66 eV per atom

=====

Hf4VBi: optimized geometry, PBE-GGA.

extended XYZ file:
```
12
Lattice="5.567 -0.459 0.000 -2.090 7.924 0.000 -1.738 -3.733 6.180" Properties=species:S:1:pos:R:3 pbc="T T T"
Hf -1.549 -1.613 5.131
Hf 1.728 2.903 3.990
Hf -1.234 1.842 5.131
Hf -1.035 4.792 3.990
Hf 2.774 -1.059 2.190
Hf 2.972 1.890 1.048
Hf 0.010 0.830 2.190
Hf 3.287 5.345 1.048
V 1.392 -0.115 0.006
V 0.347 3.847 6.174
Bi 0.347 3.847 1.453
Bi 1.392 -0.115 4.727
```

density of states at the Fermi level = 5.7 states/eV/f.u.
space-group type = C2/c, No. 15
formation enthalpy at 0 K = -0.033 eV per atom
crystal system = monoclinic
E = -8.84 eV per atom

=====

RbGa2Cu: optimized geometry, PBE-GGA.

extended XYZ file:
```
8
Lattice="5.914 0.000 0.000 0.000 5.914 0.000 2.957 2.957 7.241" Properties=species:S:1:pos:R:3 pbc="T T T"
Cu 2.957 2.957 0.000
Cu 2.957 5.914 3.621
Ga 2.959 1.478 1.810
Ga 2.955 4.435 1.810
Ga 4.435 5.912 5.431
Ga 7.392 5.916 5.431
Rb 0.000 0.000 0.000
Rb 5.914 2.957 3.621
```

density of states at the Fermi level = 2.0 states/eV/f.u.
space-group type = I4_1/amd, No. 141
formation enthalpy at 0 K = 0.127 eV per atom
crystal system = tetragonal
E = -2.65 eV per atom

=====

FeIrPb2: optimized geometry, PBE-GGA.

extended XYZ file:
```
4
Lattice="-3.112 0.823 0.442 -0.649 -3.010 1.037 1.717 2.310 7.777" Properties=species:S:1:pos:R:3 pbc="T T T"
Fe 0.948 1.275 4.294
Ir -0.687 0.513 6.146
Pb 1.599 2.152 7.246
Pb -1.329 -0.352 3.236
```

density of states at the Fermi level = 2.0 states/eV/f.u.
E above lowest polymorph = 0 kJ/mol of formula units
space-group type = P4mm, No. 99
formation enthalpy at 0 K = 0.238 eV per atom
crystal system = tetragonal
E = -5.95 eV per atom

=====

PuScCuOs: optimized geometry, PBE-GGA.

extended XYZ file:
```
4
Lattice="4.710 0.000 0.000 2.355 4.079 0.000 2.355 1.360 3.846" Properties=species:S:1:pos:R:3 pbc="T T T"
Sc 2.355 1.360 0.961
Os 4.710 2.719 1.923
Cu 0.000 0.000 0.000
Pu 7.065 4.079 2.884
```

density of states at the Fermi level = 8.1 states/eV/f.u.
space-group type = F-43m, No. 216
formation enthalpy at 0 K = -0.131 eV per atom
crystal system = cubic
E = -9.13 eV per atom

=====

Ba2I3N2: optimized geometry, PBE-GGA.

extended XYZ file:
```
7
Lattice="5.094 -0.597 4.279 1.904 9.455 4.516 3.886 1.036 8.406" Properties=species:S:1:pos:R:3 pbc="T T T"
Ba 8.894 2.662 13.059
Ba 1.991 7.232 4.141
I 2.547 -0.298 2.139
I 8.723 6.376 14.121
I 2.162 3.518 3.079
N 7.553 8.574 10.352
N 3.332 1.321 6.847
```

density of states at the Fermi level = 2.4 states/eV/f.u.
space-group type = P-1, No. 2
crystal system = triclinic
E = -3.97 eV per atom

=====

Ti2PtCl2: optimized geometry, PBE-GGA.

extended XYZ file:
```
5
Lattice="-0.483 -3.606 2.503 3.561 1.150 2.344 -3.461 3.068 3.752" Properties=species:S:1:pos:R:3 pbc="T T T"
Cl 1.781 0.575 1.172
Cl -0.241 -1.803 1.251
Pt -0.191 0.306 4.300
Ti 0.000 0.000 0.000
Ti -1.730 1.534 1.876
```

density of states at the Fermi level = 4.6 states/eV/f.u.
space-group type = P4/mmm, No. 123
crystal system = tetragonal
E = -4.96 eV per atom

=====

Tb6Tm2S3: optimized geometry, PBE-GGA.

extended XYZ file:
```
11
Lattice="-2.596 -2.177 1.601 -0.244 -3.621 -0.934 14.758 -7.575 18.008" Properties=species:S:1:pos:R:3 pbc="T T T"
Tb 11.481 -6.398 14.297
Tb 0.438 -6.976 4.379
Tb 6.003 -4.430 8.093
Tb 5.916 -8.944 10.583
Tb 12.692 -9.106 16.962
Tb -0.773 -4.268 1.714
Tm 8.680 -7.664 12.419
Tm 3.239 -5.709 6.257
S 0.000 0.000 0.000
S 1.237 -2.717 2.695
S 10.682 -10.656 15.981
```

density of states at the Fermi level = 9.6 states/eV/f.u.
space-group type = R-3m, No. 166
crystal system = trigonal
E = -5.50 eV per atom

=====

SrNbIn2Cl: optimized geometry, PBE-GGA.

extended XYZ file:
```
5
Lattice="6.217 0.000 0.000 0.000 5.133 0.000 0.000 0.000 6.217" Properties=species:S:1:pos:R:3 pbc="T T T"
Sr 0.000 0.000 0.000
Nb 3.108 2.566 3.108
Cl 0.000 2.566 0.000
In 0.000 0.000 3.108
In 3.108 0.000 0.000
```

density of states at the Fermi level = 7.8 states/eV/f.u.
space-group type = P4/mmm, No. 123
crystal system = tetragonal
E = -2.80 eV per atom

=====

K2Li3UF12: optimized geometry, PBE-GGA.

extended XYZ file:
```
18
Lattice="-2.568 -6.112 1.689 4.418 -5.095 1.152 0.804 -2.110 6.458" Properties=species:S:1:pos:R:3 pbc="T T T"
K 1.589 -7.970 5.566
K 1.066 -5.346 3.733
Li -1.284 -3.056 0.845
Li 2.209 -2.547 0.576
Li 0.402 -1.055 3.229
U 0.000 0.000 0.000
F 1.172 -4.660 6.415
F 1.900 -10.462 4.894
F 3.532 -8.525 7.201
F -0.966 -7.198 3.391
F 0.151 -9.018 7.461
F 3.465 -6.553 3.050
F 1.483 -8.657 2.884
F 0.755 -2.855 4.405
F -0.877 -4.791 2.098
F 3.621 -6.118 5.908
F 2.504 -4.299 1.838
F -0.810 -6.764 6.249
```

density of states at the Fermi level = 13.3 states/eV/f.u.
space-group type = R-3m, No. 166
crystal system = trigonal
E = -5.08 eV per atom

=====

CeNd3Ir: optimized geometry, PBE-GGA.

extended XYZ file:
```
5
Lattice="5.635 0.000 0.000 0.000 5.635 0.000 0.000 0.000 5.635" Properties=species:S:1:pos:R:3 pbc="T T T"
Ir 0.000 0.000 0.000
Nd 0.000 2.817 0.000
Nd 0.000 0.000 2.817
Nd 2.817 0.000 0.000
Ce 2.817 2.817 2.817
```

density of states at the Fermi level = 12.1 states/eV/f.u.
space-group type = Pm-3m, No. 221
formation enthalpy at 0 K = -0.071 eV per atom
crystal system = cubic
E = -5.89 eV per atom

=====

LiHf3Se: optimized geometry, PBE-GGA.

extended XYZ file:
```
5
Lattice="4.965 0.000 0.000 0.000 4.965 0.000 0.000 0.000 4.965" Properties=species:S:1:pos:R:3 pbc="T T T"
Hf 0.000 2.483 0.000
Hf 0.000 0.000 2.483
Hf 2.483 0.000 0.000
Se 0.000 0.000 0.000
Li 2.483 2.483 2.483
```

density of states at the Fermi level = 4.0 states/eV/f.u.
E above lowest polymorph = 0 kJ/mol of formula units
space-group type = Pm-3m, No. 221
crystal system = cubic
E = -6.79 eV per atom

=====

VAsSe2: optimized geometry, PBE-GGA.

extended XYZ file:
```
8
Lattice="-6.352 -1.203 -2.774 1.791 -6.697 -1.198 -3.448 -4.807 1.060" Properties=species:S:1:pos:R:3 pbc="T T T"
As 0.000 0.000 0.000
As -6.040 -4.980 -1.850
Se -4.433 -2.757 -1.542
Se -0.712 -5.571 -0.907
Se -4.247 -6.752 -0.728
Se -6.626 -10.332 -2.647
V -2.280 -3.950 -1.986
V -1.969 -7.727 -1.062
```

density of states at the Fermi level = 3.7 states/eV/f.u.
space-group type = I-42d, No. 122
crystal system = tetragonal
E = -5.12 eV per atom

=====

ScSiS2N: optimized geometry, PBE-GGA.

extended XYZ file:
```
5
Lattice="4.980 0.000 0.000 0.000 4.980 0.000 0.000 0.000 4.082" Properties=species:S:1:pos:R:3 pbc="T T T"
Sc 0.000 0.000 0.000
S 0.000 2.490 0.000
S 2.490 0.000 0.000
Si 2.490 2.490 2.041
N 0.000 0.000 2.041
```

density of states at the Fermi level = 2.0 states/eV/f.u.
E above lowest polymorph = 374 kJ/mol of formula units
space-group type = P4/mmm, No. 123
crystal system = tetragonal
E = -5.40 eV per atom